Entry 1:
Compound: PaB12
Source: the Alexandria database
Functional: PBE-GGA
Structure: optimized geometry

Computed properties:
For the density of states at the Fermi level, the calculation gives 3.56 states/eV/f.u. The total energy is -93.6 eV per cell. The size of the total moment comes out at 0.0 Bohr magnetons per cell.

abc: 5.3052 5.3052 5.3052
angles: 60.00 60.00 60.00
Last column: nearest neighbours and their distance in Å.
Fractional positions:
1 Pa 0.0000 0.0000 0.0000  24 B 2.79
2 B 0.1611 0.5000 0.5000  5 B 1.71-1.80
3 B 0.1611 0.5000 0.8389  5 B 1.71-1.80
4 B 0.1611 0.8389 0.5000  5 B 1.71-1.80
5 B 0.5000 0.1611 0.5000  5 B 1.71-1.80
6 B 0.5000 0.1611 0.8389  5 B 1.71-1.80
7 B 0.5000 0.5000 0.1611  5 B 1.71-1.80
8 B 0.5000 0.5000 0.8389  5 B 1.71-1.80
9 B 0.5000 0.8389 0.1611  5 B 1.71-1.80
10 B 0.5000 0.8389 0.5000  5 B 1.71-1.80
11 B 0.8389 0.1611 0.5000  5 B 1.71-1.80
12 B 0.8389 0.5000 0.1611  5 B 1.71-1.80
13 B 0.8389 0.5000 0.5000  5 B 1.71-1.80



Entry 2:
Compound: Li4Mg4Zn
Source: the Alexandria database
Functional: PBE-GGA
Structure: optimized geometry

Computed properties:
For the density of states at the Fermi level, the calculation gives 3.51 states/eV/f.u. The total energy is -16.0 eV per cell. The size of the total moment comes out at 0.0 Bohr magnetons per cell.

abc: 6.6604 6.6604 6.6604
angles: 96.33 96.33 141.20
Last column: nearest neighbours and their distance in Å.
Fractional positions:
1 Li 0.1570 0.1570 0.3139  2 Li 2.79, 2 Zn 2.96, 6 Mg 2.99-3.05
2 Li 0.1570 0.8430 0.0000  2 Li 2.79, 2 Zn 2.96, 6 Mg 2.99-3.05
3 Li 0.8430 0.1570 0.0000  2 Li 2.79, 2 Zn 2.96, 6 Mg 2.99-3.05
4 Li 0.8430 0.8430 0.6861  2 Li 2.79, 2 Zn 2.96, 6 Mg 2.99-3.05
5 Mg 0.1792 0.5000 0.6792  1 Zn 2.85, 6 Li 2.99-3.05, 5 Mg 3.16-3.18
6 Mg 0.5000 0.1792 0.6792  1 Zn 2.85, 6 Li 2.99-3.05, 5 Mg 3.16-3.18
7 Mg 0.5000 0.8208 0.3208  1 Zn 2.85, 6 Li 2.99-3.05, 5 Mg 3.16-3.18
8 Mg 0.8208 0.5000 0.3208  1 Zn 2.85, 6 Li 2.99-3.05, 5 Mg 3.16-3.18
9 Zn 0.5000 0.5000 0.0000  4 Mg 2.85, 8 Li 2.96



Entry 3:
Compound: Nd5Tl6
Source: the Alexandria database
Functional: PBE-GGA
Structure: optimized geometry

Computed properties:
For the density of states at the Fermi level, the calculation gives 11.47 states/eV/f.u. As for the excess energy over the best structure of this formula in the dataset: 61 meV per atom. The size of the total moment comes out at 0.0 Bohr magnetons per cell.

abc: 7.5563 7.5563 8.2884
angles: 98.27 98.27 129.63
Last column: nearest neighbours and their distance in Å.
Fractional positions:
1 Nd 0.0000 0.0000 0.0000  6 Tl 3.22-3.23
2 Nd 0.2856 0.7144 0.0000  6 Tl 3.33-3.38, 2 Nd 3.36
3 Nd 0.3487 0.6513 0.5000  6 Tl 3.29-3.37
4 Nd 0.6513 0.3487 0.5000  6 Tl 3.29-3.37
5 Nd 0.7144 0.2856 0.0000  6 Tl 3.33-3.38, 2 Nd 3.36
6 Tl 0.0830 0.8162 0.3063  2 Tl 3.05-3.15, 5 Nd 3.23-3.38
7 Tl 0.1838 0.9170 0.6937  2 Tl 3.05-3.15, 5 Nd 3.23-3.38
8 Tl 0.4739 0.4739 0.8014  3 Tl 3.15-3.19, 5 Nd 3.22-3.34
9 Tl 0.5261 0.5261 0.1986  3 Tl 3.15-3.19, 5 Nd 3.22-3.34
10 Tl 0.8162 0.0830 0.3063  2 Tl 3.05-3.15, 5 Nd 3.23-3.38
11 Tl 0.9170 0.1838 0.6937  2 Tl 3.05-3.15, 5 Nd 3.23-3.38



Entry 4:
Compound: Tm2Hf3Si4
Source: the Alexandria database
Functional: PBE-GGA
Structure: optimized geometry

Computed properties:
For the uncorrected formation energy, the calculation gives -0.83 eV/atom. For the density of states at the Fermi level, the calculation gives 6.51 states/eV/f.u. The size of the total moment comes out at 0.0 Bohr magnetons per cell.

abc: 7.2318 7.2293 7.0211
angles: 90.00 108.53 90.00
Last column: nearest neighbours and their distance in Å.
Fractional positions:
1 Tm 0.1905 0.1712 0.0708  6 Si 2.85-3.08
2 Tm 0.1905 0.3288 0.5708  6 Si 2.85-3.08
3 Tm 0.8095 0.6712 0.4292  6 Si 2.85-3.08
4 Tm 0.8095 0.8288 0.9292  6 Si 2.85-3.08
5 Hf 0.2516 0.6807 0.2486  6 Si 2.68-2.78
6 Hf 0.2516 0.8193 0.7486  6 Si 2.68-2.78
7 Hf 0.5000 0.0000 0.5000  6 Si 2.77-2.88
8 Hf 0.5000 0.5000 0.0000  6 Si 2.77-2.88
9 Hf 0.7484 0.1807 0.2514  6 Si 2.68-2.78
10 Hf 0.7484 0.3193 0.7514  6 Si 2.68-2.78
11 Si 0.0816 0.5313 0.8672  1 Si 2.54, 3 Hf 2.68-2.78
12 Si 0.0816 0.9687 0.3672  1 Si 2.54, 3 Hf 2.68-2.78
13 Si 0.4893 0.1245 0.8700  1 Si 2.53, 4 Hf 2.68-2.77
14 Si 0.4893 0.3755 0.3700  1 Si 2.53, 4 Hf 2.68-2.77
15 Si 0.5107 0.6245 0.6300  1 Si 2.53, 4 Hf 2.68-2.77
16 Si 0.5107 0.8755 0.1300  1 Si 2.53, 4 Hf 2.68-2.77
17 Si 0.9184 0.0313 0.6328  1 Si 2.54, 3 Hf 2.68-2.78
18 Si 0.9184 0.4687 0.1328  1 Si 2.54, 3 Hf 2.68-2.78



Entry 5:
Compound: NaSrAl2Os
Source: the Alexandria database
Functional: PBE-GGA
Structure: optimized geometry

Computed properties:
For the density of states at the Fermi level, the calculation gives 4.37 states/eV/f.u. The total energy is -15.5 eV per cell. The size of the total moment comes out at 0.8 Bohr magnetons per cell.

abc: 4.9554 4.9554 5.0462
angles: 90.00 90.00 90.00
Last column: nearest neighbours and their distance in Å.
Fractional positions:
1 Na 0.0000 0.0000 0.0000  4 Al 2.48, 2 Os 2.52
2 Sr 0.5000 0.5000 0.5000  4 Os 3.50, 8 Al 3.54
3 Al 0.0000 0.5000 0.0000  2 Na 2.48
4 Al 0.5000 0.0000 0.0000  2 Na 2.48
5 Os 0.0000 0.0000 0.5000  2 Na 2.52



Entry 6:
Compound: LaH3Pt
Source: the Alexandria database
Functional: PBE-GGA
Structure: optimized geometry

Computed properties:
For the density of states at the Fermi level, the calculation gives 0.42 states/eV/f.u. The total energy is -95.5 eV per cell. The size of the total moment comes out at 0.0 Bohr magnetons per cell.

abc: 6.4562 5.9911 7.8098
angles: 90.00 126.90 90.00
Last column: nearest neighbours and their distance in Å.
Fractional positions:
1 La 0.2431 0.1854 0.0666  7 H 2.43-2.64
2 La 0.2431 0.3146 0.5666  7 H 2.43-2.64
3 La 0.7569 0.6854 0.4334  7 H 2.43-2.64
4 La 0.7569 0.8146 0.9334  7 H 2.43-2.64
5 H 0.0442 0.0125 0.2878  1 Pt 1.68
6 H 0.0442 0.4875 0.7879  1 Pt 1.68
7 H 0.2501 0.7323 0.1524  1 Pt 1.83
8 H 0.2501 0.7677 0.6524  1 Pt 1.83
9 H 0.4795 0.1343 0.9154  1 Pt 1.70
10 H 0.4795 0.3657 0.4154  1 Pt 1.70
11 H 0.5205 0.6343 0.5846  1 Pt 1.70
12 H 0.5205 0.8657 0.0846  1 Pt 1.70
13 H 0.7499 0.2323 0.3476  1 Pt 1.83
14 H 0.7499 0.2677 0.8476  1 Pt 1.83
15 H 0.9558 0.5125 0.2122  1 Pt 1.68
16 H 0.9558 0.9875 0.7121  1 Pt 1.68
17 Pt 0.2864 0.6683 0.9423  3 H 1.68-1.83
18 Pt 0.2864 0.8317 0.4423  3 H 1.68-1.83
19 Pt 0.7136 0.1683 0.5577  3 H 1.68-1.83
20 Pt 0.7136 0.3317 0.0577  3 H 1.68-1.83



Entry 7:
Compound: Pm2ErHf
Source: the Alexandria database
Functional: PBE-GGA
Structure: optimized geometry

Computed properties:
For the density of states at the Fermi level, the calculation gives 4.67 states/eV/f.u. As for the excess energy over the best structure of this formula in the dataset: 57 meV per atom. The size of the total moment comes out at 0.0 Bohr magnetons per cell.

abc: 4.0313 4.0313 7.2934
angles: 90.00 90.00 90.00
Last column: nearest neighbours and their distance in Å.
Fractional positions:
1 Pm 0.0000 0.0000 0.2250  1 Pm 3.28, 4 Hf 3.29, 4 Er 3.49
2 Pm 0.0000 0.0000 0.7750  1 Pm 3.28, 4 Hf 3.29, 4 Er 3.49
3 Er 0.5000 0.5000 0.5000  8 Pm 3.49, 2 Hf 3.65
4 Hf 0.5000 0.5000 0.0000  8 Pm 3.29, 2 Er 3.65